# 1
CoHgH2Rh: single point on PBEsol structure, meta-GGA SCAN.

Cell lengths 3.537, 3.537, 4.711 Å; angles 90.00, 90.00, 90.00 degrees
Atoms (fractional coordinates):
Co1 0.000 0.000 0.000
Hg1 0.500 0.500 0.000
H1 0.000 0.500 0.500
H2 0.500 0.000 0.500
Rh1 0.000 0.000 0.500

Output
- E_tot: -123.8 eV/cell
- D(E_F): 0.44 states/eV per atom
- Size of the total moment: 0.4473 μB per atom
- Space-group type: P4/mmm


# 2
RbFeAsSe2: single point on PBEsol structure, meta-GGA SCAN.

Cell lengths 4.995, 4.995, 4.558 Å; angles 90.00, 90.00, 90.00 degrees
Atoms (fractional coordinates):
Rb1 0.000 0.000 0.000
Fe1 0.500 0.500 0.500
As1 0.500 0.500 0.000
Se1 0.000 0.500 0.500
Se2 0.500 0.000 0.500

Output
- E_tot: -100.2 eV/cell
- D(E_F): 0.62 states/eV per atom
- E_form (uncorrected): -97 kJ/mol of formula units
- Size of the total moment: 0.6004 μB per atom
- Space-group type: P4/mmm


# 3
LiLa2Co: single point on PBEsol structure, meta-GGA SCAN.

Cell lengths 3.514, 3.474, 8.146 Å; angles 90.00, 95.91, 90.00 degrees
Atoms (fractional coordinates):
Li1 0.000 0.000 0.000
La1 0.434 0.500 0.696
La2 0.566 0.500 0.304
Co1 0.000 0.000 0.500

Output
- E_tot: -105.7 eV/cell
- D(E_F): 0.76 states/eV per atom
- Size of the total moment: 0.1777 μB per atom
- Calculated formation energy: 0.045 eV per atom
- Space-group type: P2/m